# 1
A plane-wave DFT calculation with PBE-GGA was carried out for a geometry-optimized ScCo2Se structure.

Cell lengths 4.948, 4.948, 4.948 Å; angles 138.94, 132.43, 64.62 degrees
Last column: magnetic moment on the atom in μB.
Fractional positions:
Co 0.008 0.008 0.000  1.10
Se 0.250 0.750 0.500  0.03
Sc 0.750 0.250 0.500  -0.21
Co 0.492 0.492 0.000  1.10

Calculated values
Total moment = 1.89 Bohr magnetons per cell
Raw total energy = -6.21 eV/atom
Uncorrected formation energy = -0.1982 eV/atom
Space group = Immm (71)

***

# 2
A plane-wave DFT calculation with PBE-GGA was carried out for a geometry-optimized La2Sm2Dy3 structure.

Cell lengths 3.516, 8.855, 8.739 Å; angles 116.09, 101.60, 90.00 degrees
Fractional positions:
Dy 0.000 0.500 0.000
Sm 0.359 0.094 0.719
La 0.081 0.207 0.161
La 0.919 0.793 0.839
Sm 0.641 0.906 0.281
Dy 0.780 0.355 0.561
Dy 0.220 0.645 0.439

Calculated values
Total moment = 0.00 Bohr magnetons per cell
Raw total energy = -4.60 eV/atom
Formation energy from the elements = 130 meV/atom
ΔE to the lowest computed polymorph = 106.7 meV per atom
Space group = C2/m (12)

***

# 3
A plane-wave DFT calculation with PBE-GGA was carried out for a geometry-optimized Sm7Y2Sc structure.

Cell lengths 3.465, 14.784, 14.784 Å; angles 154.19, 90.00, 90.00 degrees
Fractional positions:
Sm 0.000 0.812 0.188
Sm 0.500 0.145 0.339
Y 0.500 0.295 0.705
Sm 0.500 0.500 0.500
Y 0.500 0.705 0.295
Sc 0.000 0.000 0.000
Sm 0.500 0.661 0.855
Sm 0.000 0.188 0.812
Sm 0.500 0.855 0.661
Sm 0.500 0.339 0.145

Calculated values
Total moment = 0.00 Bohr magnetons per cell
Raw total energy = -5.05 eV/atom
Formation energy from the elements = 179 meV/atom
Space group = Cmmm (65)

***

# 4
A plane-wave DFT calculation with PBE-GGA was carried out for a geometry-optimized ZrZnIn2S structure.

Cell lengths 5.267, 4.994, 5.267 Å; angles 90.00, 90.00, 90.00 degrees
Fractional positions:
Zn 0.500 0.500 0.500
In 0.500 0.000 0.000
In 0.000 0.000 0.500
S 0.000 0.000 0.000
Zr 0.000 0.500 0.000

Calculated values
Total moment = 0.00 Bohr magnetons per cell
Raw total energy = -3.61 eV/atom
Uncorrected formation energy = 0.2794 eV/atom
Space group = P4/mmm (123)

***

# 5
A plane-wave DFT calculation with PBE-GGA was carried out for a geometry-optimized K4PrNb3O12 structure.

Cell lengths 7.320, 7.320, 7.320 Å; angles 109.47, 109.47, 109.47 degrees
Last column: magnetic moment on the atom in μB.
Fractional positions:
O 0.500 0.750 0.250  0.21
O 0.000 0.727 0.727  0.12
O 0.727 0.727 0.000  0.12
O 0.250 0.750 0.500  0.21
Nb 0.500 0.500 0.000  -0.07
O 0.500 0.250 0.750  0.21
K 0.000 0.000 0.500  0.00
Pr 0.000 0.000 0.000  0.00
K 0.000 0.500 0.000  0.00
K 0.500 0.500 0.500  0.00
O 0.250 0.500 0.750  0.21
O 0.750 0.250 0.500  0.21
O 0.727 0.000 0.727  0.12
O 0.273 0.273 0.000  0.12
O 0.273 0.000 0.273  0.12
Nb 0.000 0.500 0.500  -0.07
O 0.750 0.500 0.250  0.21
K 0.500 0.000 0.000  0.00
O 0.000 0.273 0.273  0.12
Nb 0.500 0.000 0.500  -0.07

Calculated values
Total moment = 2.12 Bohr magnetons per cell
Raw total energy = -7.20 eV/atom
Uncorrected formation energy = -2.2530 eV/atom
Space group = Im-3m (229)

***

# 6
A plane-wave DFT calculation with PBE-GGA was carried out for a geometry-optimized ScAlZn2O structure.

Cell lengths 5.207, 5.505, 5.207 Å; angles 90.00, 90.00, 90.00 degrees
Fractional positions:
Zn 0.000 0.000 0.500
Sc 0.000 0.000 0.000
O 0.500 0.500 0.500
Zn 0.500 0.000 0.000
Al 0.000 0.500 0.000

Calculated values
Total moment = 0.00 Bohr magnetons per cell
Raw total energy = -2.31 eV/atom
Uncorrected formation energy = 1.2106 eV/atom
Space group = P4/mmm (123)

***

# 7
A plane-wave DFT calculation with PBE-GGA was carried out for a geometry-optimized La2AgS2O2 structure.

Cell lengths 4.070, 4.070, 11.481 Å; angles 90.00, 90.00, 120.00 degrees
Last column: magnetic moment on the atom in μB.
Fractional positions:
O 0.667 0.333 0.578  0.01
O 0.333 0.667 0.422  0.01
Ag 0.000 0.000 0.000  0.04
La 0.333 0.667 0.634  0.01
S 0.000 0.000 0.799  0.08
La 0.667 0.333 0.366  0.01
S 0.000 0.000 0.201  0.08

Calculated values
Total moment = 0.33 Bohr magnetons per cell
Raw total energy = -6.47 eV/atom
Uncorrected formation energy = -2.0607 eV/atom
Space group = P-3m1 (164)

***

# 8
A plane-wave DFT calculation with PBE-GGA was carried out for a geometry-optimized CuMo2As2 structure.

Cell lengths 6.990, 6.990, 3.192 Å; angles 90.00, 90.00, 90.00 degrees
Fractional positions:
Mo 0.353 0.147 0.500
Mo 0.147 0.647 0.500
Cu 0.500 0.500 0.000
Cu 0.000 0.000 0.000
As 0.350 0.850 0.000
Mo 0.853 0.353 0.500
As 0.650 0.150 0.000
Mo 0.647 0.853 0.500
As 0.850 0.650 0.000
As 0.150 0.350 0.000

Calculated values
Total moment = 0.00 Bohr magnetons per cell
Raw total energy = -6.88 eV/atom
Formation energy from the elements = 130 meV/atom
ΔE to the lowest computed polymorph = 93.4 meV per atom
Space group = P4/mbm (127)